No. 1
BaDy3As4O12 | PBE | relaxed

Computed properties:
Its calculated volume is 333.98 Å³/cell. The calculation puts the total energy at -6.671 eV/atom. Its uncorrected formation energy is -1979 meV/atom.

a = 7.2307 Å, b = 7.2307 Å, c = 7.2307 Å
α = 104.50°, β = 104.50°, γ = 104.50°
Last column: nearest neighbours and their distance in Å.
Element x y z (fractional)
Ba1 0.0000 0.0000 0.0000  6 O 2.79
Dy1 0.5707 0.4293 0.0000  6 O 2.20-2.44
Dy2 0.4293 0.0000 0.5707  6 O 2.20-2.44
Dy3 0.0000 0.5707 0.4293  6 O 2.20-2.44
As1 0.9103 0.0897 0.5000  3 O 1.79-1.84
As2 0.0897 0.5000 0.9103  3 O 1.79-1.84
As3 0.5000 0.9103 0.0897  3 O 1.79-1.84
As4 0.5000 0.5000 0.5000  3 O 1.93
O1 0.5000 0.3308 0.6692  1 As 1.93
O2 0.9334 0.5000 0.0666  1 As 1.79
O3 0.0666 0.9334 0.5000  1 As 1.79
O4 0.5000 0.0666 0.9334  1 As 1.79
O5 0.3665 0.0128 0.2549  1 As 1.84
O6 0.2549 0.3665 0.0128  1 As 1.84
O7 0.0128 0.2549 0.3665  1 As 1.84
O8 0.6335 0.7451 0.9872  1 As 1.84
O9 0.9872 0.6335 0.7451  1 As 1.84
O10 0.7451 0.9872 0.6335  1 As 1.84
O11 0.6692 0.5000 0.3308  1 As 1.93
O12 0.3308 0.6692 0.5000  1 As 1.93

No. 2
Ba2DyAs2O6 | PBE | relaxed

Computed properties:
Its calculated volume is 213.77 Å³/cell. The calculation puts the total energy at -6.483 eV/atom. Its uncorrected formation energy is -2165 meV/atom.

a = 5.6765 Å, b = 7.3290 Å, c = 6.5421 Å
α = 118.87°, β = 90.00°, γ = 112.78°
Last column: nearest neighbours and their distance in Å.
Element x y z (fractional)
Ba1 0.7349 0.4697 0.2373  1 O 2.51
Ba2 0.2651 0.5303 0.7627  1 O 2.51
Dy1 0.5000 0.0000 0.5000  6 O 2.20-2.34
As1 0.9923 0.9847 0.7912  2 O 1.76
As2 0.0077 0.0153 0.2088  2 O 1.76
O1 0.6712 0.3423 0.5356  1 Dy 2.20
O2 0.1532 0.8334 0.1767  1 As 1.76
O3 0.3199 0.1666 0.8233  1 As 1.76
O4 0.8468 0.1666 0.8233  1 As 1.76
O5 0.6801 0.8334 0.1767  1 As 1.76
O6 0.3288 0.6577 0.4644  1 Dy 2.20

No. 3
Ba2DyAsO6 | PBE | relaxed

Computed properties:
Its calculated volume is 303.92 Å³/cell. The calculation puts the total energy at -6.781 eV/atom. Its uncorrected formation energy is -2497 meV/atom.

a = 5.9536 Å, b = 5.9536 Å, c = 10.4803 Å
α = 73.50°, β = 73.50°, γ = 60.00°
Last column: nearest neighbours and their distance in Å.
Element x y z (fractional)
Ba1 0.8667 0.8667 0.3999  9 O 2.84-2.98
Ba2 0.1333 0.1333 0.6001  9 O 2.84-2.98
Ba3 0.7173 0.7173 0.8481  12 O 3.00-3.20
Ba4 0.2827 0.2827 0.1519  12 O 3.00-3.20
Dy1 0.5955 0.5955 0.2135  6 O 2.17-2.31
Dy2 0.4045 0.4045 0.7865  6 O 2.17-2.31
As1 0.0000 0.0000 0.0000  6 O 1.88
As2 0.5000 0.5000 0.5000  6 O 1.90
O1 0.8365 0.3883 0.3870  1 As 1.90
O2 0.3883 0.8365 0.3870  1 As 1.90
O3 0.3883 0.3883 0.3870  1 As 1.90
O4 0.1635 0.6117 0.6130  1 As 1.90
O5 0.6117 0.1635 0.6130  1 As 1.90
O6 0.6117 0.6117 0.6130  1 As 1.90
O7 0.7376 0.1854 0.8917  1 As 1.88
O8 0.1854 0.7376 0.8917  1 As 1.88
O9 0.1854 0.1854 0.8917  1 As 1.88
O10 0.2624 0.8146 0.1083  1 As 1.88
O11 0.8146 0.2624 0.1083  1 As 1.88
O12 0.8146 0.8146 0.1083  1 As 1.88

No. 4
Ba2DyPaAs4 | PBE | relaxed

Computed properties:
Its calculated volume is 243.31 Å³/cell. The calculation puts the total energy at -5.789 eV/atom. Its energy relative to the elements is -118 kJ per mole of atoms.

a = 4.3648 Å, b = 7.4572 Å, c = 7.8864 Å
α = 108.58°, β = 90.00°, γ = 90.00°
Last column: nearest neighbours and their distance in Å.
Element x y z (fractional)
Ba1 0.5000 0.0000 0.5000  6 As 3.30-3.31
Ba2 0.0000 0.5000 0.5000  6 As 3.37-3.39
Dy1 0.5000 0.5000 0.0000  6 As 2.96-2.97
Pa1 0.0000 0.0000 0.0000  6 As 2.86-2.91
As1 0.5000 0.2266 0.2027  2 Pa 2.91, 1 Dy 2.96
As2 0.5000 0.7734 0.7973  2 Pa 2.91, 1 Dy 2.96
As3 0.0000 0.2546 0.7947  1 Pa 2.86, 2 Dy 2.97
As4 0.0000 0.7454 0.2053  1 Pa 2.86, 2 Dy 2.97

No. 5
BaDyAs2Pd5 | PBE | relaxed

Computed properties:
Its calculated volume is 210.32 Å³/cell. The calculation puts the total energy at -5.269 eV/atom. Its energy relative to the elements is -60 kJ per mole of atoms.

a = 4.6351 Å, b = 4.6351 Å, c = 9.7894 Å
α = 90.00°, β = 90.00°, γ = 90.00°
Last column: nearest neighbours and their distance in Å.
Element x y z (fractional)
Ba1 0.0000 0.0000 0.5000  4 Pd 3.28
Dy1 0.0000 0.0000 0.0000  8 Pd 2.88
As1 0.5000 0.5000 0.2546  5 Pd 2.40-2.44
As2 0.5000 0.5000 0.7454  5 Pd 2.40-2.44
Pd1 0.0000 0.5000 0.1753  2 As 2.44
Pd2 0.5000 0.0000 0.1753  2 As 2.44
Pd3 0.0000 0.5000 0.8247  2 As 2.44
Pd4 0.5000 0.0000 0.8247  2 As 2.44
Pd5 0.5000 0.5000 0.5000  2 As 2.40

No. 6
BaDyAs2Pd2 | PBE | relaxed

Computed properties:
Its calculated volume is 140.57 Å³/cell. The calculation puts the total energy at -5.440 eV/atom. Its energy relative to the elements is -103 kJ per mole of atoms.

a = 4.3601 Å, b = 4.3601 Å, c = 8.5385 Å
α = 90.00°, β = 90.00°, γ = 120.00°
Last column: nearest neighbours and their distance in Å.
Element x y z (fractional)
Ba1 0.0000 0.0000 0.0000  6 As 3.48, 6 Pd 3.52
Dy1 0.0000 0.0000 0.5000  6 Pd 3.10, 6 As 3.14
As1 0.6667 0.3333 0.7189  3 Pd 2.52
As2 0.3333 0.6667 0.2811  3 Pd 2.52
Pd1 0.6667 0.3333 0.2878  3 As 2.52
Pd2 0.3333 0.6667 0.7122  3 As 2.52